## Sr2NdPbS4 (PBE-GGA)

Data for Sr2NdPbS4 after structural relaxation.

```
Sr2NdPbS4
1.0
7.295 0.000 0.000
0.000 4.191 0.000
-2.430 0.000 6.932
Sr Nd Pb S
2 1 1 4
Cartesian
0.000 0.000 0.000
-1.215 2.095 3.466
2.432 0.000 3.466
3.648 2.095 0.000
0.053 0.000 5.157
1.253 2.095 1.786
3.612 2.095 5.146
4.812 0.000 1.775
```

Summary:
For the size of the total moment, the calculation gives 0.00 μB/f.u. As for the space group: P2/m, No. 10. The value obtained for the uncorrected formation energy is -13.24 eV per formula unit. The total energy is -5.198 eV/atom.

---

## TbNd3Pb2S (PBE-GGA)

Data for TbNd3Pb2S after structural relaxation.

```
TbNd3Pb2S
1.0
-2.565 2.629 8.353
2.565 -2.629 8.353
2.565 2.629 -8.353
Tb Nd Pb S
1 3 2 1
Cartesian
0.000 0.000 0.000
2.565 0.000 2.818
0.000 0.000 8.353
0.000 2.629 5.535
2.565 0.000 6.077
0.000 2.629 2.276
2.565 0.000 0.000
```

Summary:
For the size of the total moment, the calculation gives 0.00 μB/f.u. As for the space group: Immm, No. 71. The value obtained for the uncorrected formation energy is -5.70 eV per formula unit. The total energy is -5.168 eV/atom.

---

## Tb4NdPbS8 (PBE-GGA)

Data for Tb4NdPbS8 after structural relaxation.

```
Tb4NdPbS8
1.0
4.088 2.360 6.796
-4.088 2.360 6.796
0.000 -4.721 6.796
Tb Nd Pb S
4 1 1 8
Cartesian
0.000 0.000 0.000
-2.015 -1.164 9.374
2.015 -1.164 9.374
0.000 2.327 9.374
0.000 0.000 12.717
0.000 0.000 5.141
0.000 -2.150 10.913
-1.862 1.075 10.913
0.000 0.000 7.959
-1.945 -1.123 14.552
1.862 1.075 10.913
0.000 0.000 17.695
1.945 -1.123 14.552
0.000 2.246 14.552
```

Summary:
For the size of the total moment, the calculation gives 0.00 μB/f.u. As for the space group: R3m, No. 160. The value obtained for the uncorrected formation energy is -24.68 eV per formula unit. The total energy is -6.049 eV/atom.

---

## Nd6Te3Pb2S (PBE-GGA)

Data for Nd6Te3Pb2S after structural relaxation.

```
Nd6Te3Pb2S
1.0
9.766 -2.230 0.000
9.766 2.230 0.000
-2.178 0.000 8.706
Nd Te Pb S
6 3 2 1
Cartesian
-0.486 0.000 1.954
17.839 0.000 6.751
5.587 0.000 3.667
4.717 0.000 8.015
12.636 0.000 0.691
11.766 0.000 5.038
1.493 0.000 7.266
8.676 0.000 4.353
15.860 0.000 1.440
2.510 0.000 2.870
14.843 0.000 5.836
9.766 0.000 0.000
```

Summary:
For the size of the total moment, the calculation gives 0.00 μB/f.u. As for the space group: C2/m, No. 12. The value obtained for the uncorrected formation energy is -14.89 eV per formula unit. The total energy is -5.372 eV/atom.

---

## Nd4Te2PbS (PBE-GGA)

Data for Nd4Te2PbS after structural relaxation.

```
Nd4Te2PbS
1.0
7.616 0.000 0.000
0.000 4.405 0.000
-2.553 0.000 7.326
Nd Te Pb S
4 2 1 1
Cartesian
1.161 0.000 1.629
-0.115 2.202 5.606
5.179 2.202 1.721
3.903 0.000 5.698
-1.276 0.000 3.663
2.532 2.202 3.663
3.808 0.000 0.000
0.000 2.202 0.000
```

Summary:
For the size of the total moment, the calculation gives 0.00 μB/f.u. As for the space group: P2/m, No. 10. The value obtained for the uncorrected formation energy is -10.80 eV per formula unit. The total energy is -5.498 eV/atom.

---

## NdTlPb2S4 (PBE-GGA)

Data for NdTlPb2S4 after structural relaxation.

```
NdTlPb2S4
1.0
7.283 0.000 0.000
0.000 4.235 0.000
-2.373 0.000 7.057
Nd Tl Pb S
1 1 2 4
Cartesian
0.000 0.000 0.000
-1.187 2.117 3.529
2.455 0.000 3.529
3.641 2.117 0.000
1.200 2.117 1.618
-0.001 0.000 5.458
4.910 0.000 1.599
3.709 2.117 5.439
```

Summary:
For the size of the total moment, the calculation gives 0.00 μB/f.u. As for the space group: P2/m, No. 10. The value obtained for the uncorrected formation energy is -7.42 eV per formula unit. The total energy is -4.810 eV/atom.

---

## Nd5SbPb2 (PBE-GGA)

Data for Nd5SbPb2 after structural relaxation.

```
Nd5SbPb2
1.0
8.590 0.000 0.000
0.000 12.915 0.000
0.000 0.000 4.737
Nd Sb Pb
10 2 4
Cartesian
0.000 0.000 0.000
1.309 3.668 0.000
1.807 7.384 2.369
2.488 0.926 2.369
2.986 10.126 0.000
4.295 6.458 0.000
5.604 2.789 0.000
6.103 11.990 2.369
6.783 5.532 2.369
7.281 9.247 0.000
0.000 6.458 0.000
4.295 0.000 0.000
0.681 10.663 2.369
3.614 4.205 2.369
4.976 8.710 2.369
7.909 2.252 2.369
```

Summary:
For the size of the total moment, the calculation gives 0.00 μB/f.u. As for the space group: Pbam, No. 55. The value obtained for the uncorrected formation energy is -5.10 eV per formula unit. The total energy is -5.059 eV/atom.

---

## Nd2SbPb (PBE-GGA)

Data for Nd2SbPb after structural relaxation.

```
Nd2SbPb
1.0
2.313 -12.430 0.000
2.313 12.430 0.000
0.000 0.000 4.516
Nd Sb Pb
4 2 2
Cartesian
2.313 10.847 3.387
2.313 4.623 3.387
2.313 -4.623 1.129
2.313 -10.847 1.129
2.313 7.759 3.387
2.313 -7.759 1.129
2.313 1.183 3.387
2.313 -1.183 1.129
```

Summary:
For the size of the total moment, the calculation gives 0.00 μB/f.u. As for the energy above the most stable polymorph in this dataset: 0 meV/atom. As for the space group: Cmcm, No. 63. The value obtained for the uncorrected formation energy is -3.52 eV per formula unit. The total energy is -5.222 eV/atom.

---

## Nd2SbPb (PBE-GGA)

Data for Nd2SbPb after structural relaxation.

```
Nd2SbPb
1.0
6.403 0.000 0.000
0.000 4.621 0.000
-3.143 0.000 8.410
Nd Sb Pb
4 2 2
Cartesian
0.143 1.155 3.686
-1.358 1.155 7.826
4.618 3.465 0.583
3.117 3.465 4.724
-0.271 3.465 5.871
3.531 1.155 2.539
1.225 3.465 1.654
2.035 1.155 6.756
```

Summary:
For the size of the total moment, the calculation gives 0.00 μB/f.u. As for the energy above the most stable polymorph in this dataset: 88 meV/atom. As for the space group: P2_1/m, No. 11. The value obtained for the uncorrected formation energy is -3.17 eV per formula unit. The total energy is -5.135 eV/atom.

---

## Nd8SbPb2 (PBE-GGA)

Data for Nd8SbPb2 after structural relaxation.

```
Nd8SbPb2
1.0
10.060 -2.574 0.000
10.060 2.574 0.000
-1.272 0.000 7.150
Nd Sb Pb
8 1 2
Cartesian
0.068 0.000 1.860
3.216 0.000 6.050
6.258 0.000 3.417
8.165 0.000 0.132
10.683 0.000 7.019
12.590 0.000 3.733
15.632 0.000 1.100
18.780 0.000 5.290
9.424 0.000 3.575
3.316 0.000 1.960
15.531 0.000 5.190
```

Summary:
For the size of the total moment, the calculation gives 0.00 μB/f.u. As for the space group: C2/m, No. 12. The value obtained for the uncorrected formation energy is -4.05 eV per formula unit. The total energy is -4.885 eV/atom.

---

## Nd5Sb2Pb2 (PBE-GGA)

Data for Nd5Sb2Pb2 after structural relaxation.

```
Nd5Sb2Pb2
1.0
8.001 -4.230 0.000
8.001 4.230 0.000
0.000 0.000 8.506
Nd Sb Pb
10 4 4
Cartesian
0.000 0.000 0.000
5.840 2.826 5.639
5.840 1.404 1.385
10.162 2.826 5.639
10.162 1.404 1.385
8.001 0.000 4.253
5.840 -1.404 7.121
5.840 -2.826 2.868
10.162 -1.404 7.121
10.162 -2.826 2.868
8.001 3.058 3.067
8.001 1.172 7.320
8.001 -1.172 1.186
8.001 -3.058 5.439
3.265 0.000 0.000
4.736 0.000 4.253
11.266 0.000 4.253
12.736 0.000 0.000
```

Summary:
For the size of the total moment, the calculation gives 0.00 μB/f.u. As for the space group: Cmce, No. 64. The value obtained for the uncorrected formation energy is -7.39 eV per formula unit. The total energy is -5.210 eV/atom.

---

## Nd4Sb3Pb (PBE-GGA)

Data for Nd4Sb3Pb after structural relaxation.

```
Nd4Sb3Pb
1.0
6.415 0.000 0.000
0.000 6.415 0.000
0.000 0.000 6.415
Nd Sb Pb
4 3 1
Cartesian
0.000 0.000 0.000
0.000 3.208 3.208
3.208 0.000 3.208
3.208 3.208 0.000
0.000 0.000 3.208
0.000 3.208 0.000
3.208 0.000 0.000
3.208 3.208 3.208
```

Summary:
For the size of the total moment, the calculation gives 0.00 μB/f.u. As for the space group: Pm-3m, No. 221. The value obtained for the uncorrected formation energy is -7.90 eV per formula unit. The total energy is -5.381 eV/atom.